The following is a DFT calculation (PBE) of a geometry-optimized YTaBePt2 structure.

a = 4.866 Å, b = 5.430 Å, c = 4.866 Å
α = 90.00°, β = 90.00°, γ = 90.00°
Positions (direct):
Y 0.000 0.500 0.000
Be 0.500 0.500 0.500
Pt 0.000 0.000 0.500
Pt 0.500 0.000 0.000
Ta 0.000 0.000 0.000

As for the mass density: 8.64 g cm⁻³. The calculation puts the formation energy at 1030.2 meV/atom. The value obtained for the spin magnetization is 0.0 Bohr magnetons per cell.